## Na2MoIrO6 (PBE with a Hubbard U)

Data for a geometry-optimized Na2MoIrO6 structure.

Cell lengths 3.9218, 5.5177, 5.5177 Å; angles 90.00, 90.00, 90.00 degrees
Each line ends with the local moment (μB).
Fractional positions:
1 Mo 0.6442 0.0000 0.0000  0.01
2 O 0.1448 0.0000 0.0000  -0.01
3 O 0.6449 0.2455 0.7545  0.00
4 O 0.6449 0.7545 0.2455  0.00
5 O 0.6449 0.2455 0.2455  0.00
6 O 0.1450 0.5000 0.5000  -0.03
7 O 0.6449 0.7545 0.7545  0.00
8 Na 0.1440 0.5000 0.0000  0.00
9 Na 0.1440 0.0000 0.5000  0.00
10 Ir 0.6450 0.5000 0.5000  -0.07

Its total magnetization is 0.12 μB/f.u. The mass density is 5982 kg/m3. As for the total energy: -6.19 eV/atom. The volume comes out at 11.9 Å³/atom. The space group is P4/mmm.